{"formula": "La2MgAlSe5", "functional": "GGA-PBE", "state": "relaxed", "cell": [[-0.722, -1.817, -3.523], [0.062, -7.022, 5.912], [-12.283, 1.402, 1.794]], "species": ["Se", "Se", "Se", "Se", "Se", "Se", "Se", "Se", "Se", "Se", "La", "La", "La", "La", "Mg", "Mg", "Al", "Al"], "fractional_positions": [[0.647, 0.295, 0.503], [0.709, 0.417, 0.171], [0.496, 0.991, 0.771], [0.958, 0.916, 0.544], [0.504, 0.009, 0.271], [0.685, 0.369, 0.868], [0.042, 0.084, 0.044], [0.315, 0.631, 0.368], [0.353, 0.705, 0.003], [0.291, 0.583, 0.671], [0.867, 0.734, 0.823], [0.133, 0.266, 0.323], [0.120, 0.240, 0.679], [0.880, 0.760, 0.179], [0.204, 0.408, 0.026], [0.796, 0.592, 0.526], [0.559, 0.118, 0.938], [0.441, 0.882, 0.438]], "dft_energy_ev_per_cell": -92.622, "dos_at_fermi_per_ev_cell": 1.93}